Record 1
Compound: LaMn2IrOs
Source: the Alexandria database
Functional: GGA-PBEsol
Structure: optimized geometry

Uncorrected energy = -8.112 eV per atom
Calculated volume = 21.9 Å³/atom
Formation enthalpy at 0 K = 6.35 eV per formula unit

a b c (Å): 4.4518 4.4518 5.5230
angles (deg): 90.00 90.00 90.00
Closest atoms and distances in Å follow each position.
Positions (direct):
La (0.0000, 0.0000, 0.0000)  2 Os 2.76
Mn (0.0000, 0.5000, 0.5000)  2 Os 2.23
Mn (0.5000, 0.0000, 0.5000)  2 Os 2.23
Ir (0.5000, 0.5000, 0.0000)  4 La 3.15
Os (0.0000, 0.0000, 0.5000)  4 Mn 2.23

Record 2
Compound: LiTl2InGe
Source: the Alexandria database
Functional: GGA-PBEsol
Structure: optimized geometry

Uncorrected energy = -2.707 eV per atom
Calculated volume = 32.2 Å³/atom
Formation enthalpy at 0 K = 1.61 eV per formula unit

a b c (Å): 5.5693 5.5693 5.1886
angles (deg): 90.00 90.00 90.00
Closest atoms and distances in Å follow each position.
Positions (direct):
Li (0.0000, 0.0000, 0.0000)  8 Tl 3.81, 4 In 3.94
Tl (0.0000, 0.5000, 0.5000)  2 Ge 2.78
Tl (0.5000, 0.0000, 0.5000)  2 Ge 2.78
In (0.5000, 0.5000, 0.0000)  2 Ge 2.59
Ge (0.5000, 0.5000, 0.5000)  2 In 2.59, 4 Tl 2.78

Record 3
Compound: Mg2AlW
Source: the Alexandria database
Functional: GGA-PBEsol
Structure: optimized geometry

Uncorrected energy = -4.975 eV per atom
Calculated volume = 17.3 Å³/atom
Formation enthalpy at 0 K = 1.43 eV per formula unit

a b c (Å): 2.9937 4.8225 9.5662
angles (deg): 90.00 90.00 90.00
Closest atoms and distances in Å follow each position.
Positions (direct):
Mg (0.0000, 0.0000, 0.0000)  2 W 2.84, 4 Al 2.84, 4 Mg 2.95-2.99
Mg (0.0000, 0.5000, 0.2337)  4 W 2.84, 2 Al 2.85, 4 Mg 2.95-2.99
Mg (0.5000, 0.0000, 0.7337)  4 W 2.84, 2 Al 2.85, 4 Mg 2.95-2.99
Mg (0.5000, 0.5000, 0.5000)  2 W 2.84, 4 Al 2.84, 4 Mg 2.95-2.99
Al (0.0000, 0.0000, 0.4803)  2 W 2.64, 6 Mg 2.84-2.85
Al (0.5000, 0.5000, 0.9803)  2 W 2.64, 6 Mg 2.84-2.85
W (0.0000, 0.5000, 0.7526)  2 Al 2.64, 6 Mg 2.84
W (0.5000, 0.0000, 0.2526)  2 Al 2.64, 6 Mg 2.84

Record 4
Compound: MgRu3S
Source: the Alexandria database
Functional: GGA-PBEsol
Structure: optimized geometry

Uncorrected energy = -5.109 eV per atom
Calculated volume = 17.2 Å³/atom

a b c (Å): 4.4150 4.4150 4.4150
angles (deg): 90.00 90.00 90.00
Closest atoms and distances in Å follow each position.
Positions (direct):
Mg (0.0000, 0.0000, 0.0000)  6 Ru 2.21
Ru (0.0000, 0.0000, 0.5000)  2 Mg 2.21
Ru (0.0000, 0.5000, 0.0000)  2 Mg 2.21
Ru (0.5000, 0.0000, 0.0000)  2 Mg 2.21
S (0.5000, 0.5000, 0.5000)  12 Ru 3.12

Record 5
Compound: TlH3Pt
Source: the Alexandria database
Functional: GGA-PBEsol
Structure: optimized geometry

Uncorrected energy = -3.809 eV per atom
Calculated volume = 10.6 Å³/atom

a b c (Å): 3.7563 3.7563 3.7563
angles (deg): 90.00 90.00 90.00
Closest atoms and distances in Å follow each position.
Positions (direct):
Tl (0.0000, 0.0000, 0.0000)  12 H 2.66
H (0.0000, 0.5000, 0.5000)  2 Pt 1.88
H (0.5000, 0.0000, 0.5000)  2 Pt 1.88
H (0.5000, 0.5000, 0.0000)  2 Pt 1.88
Pt (0.5000, 0.5000, 0.5000)  6 H 1.88

Record 6
Compound: NbAs2HSe
Source: the Alexandria database
Functional: GGA-PBEsol
Structure: optimized geometry

Uncorrected energy = -5.315 eV per atom
Calculated volume = 18.2 Å³/atom

a b c (Å): 5.0274 5.0274 3.5987
angles (deg): 90.00 90.00 90.00
Closest atoms and distances in Å follow each position.
Positions (direct):
Nb (0.0000, 0.0000, 0.0000)  2 H 1.80
As (0.0000, 0.5000, 0.0000)  2 Nb 2.51
As (0.5000, 0.0000, 0.0000)  2 Nb 2.51
H (0.0000, 0.0000, 0.5000)  2 Nb 1.80
Se (0.5000, 0.5000, 0.5000)  8 As 3.09

D(E_F) (computed, states/eV per cell): 4.8 2.5 4.8 6.6 1.2 4.1
Magnetization (computed, μB per cell): 5.80 0.00 0.00 0.60 0.00 0.00